1.
The following is a DFT calculation (PBE-GGA) of a geometry-optimized Cd2Sb5O2F31 structure.

Results
ΔE_f (raw) in eV per atom: -1.941
Symmetry: P2_1/c
Total energy in eV/cell: -336.02

a = 11.442 Å, b = 11.288 Å, c = 10.408 Å
α = 90.00°, β = 108.67°, γ = 90.00°
Sites, in units of the cell vectors:
Cd: 0.014 0.144 0.134
Cd: 0.014 0.356 0.634
Cd: 0.986 0.644 0.366
Cd: 0.986 0.856 0.866
Sb: 0.000 0.000 0.500
Sb: 0.000 0.500 0.000
Sb: 0.265 0.669 0.751
Sb: 0.265 0.831 0.251
Sb: 0.300 0.187 0.946
Sb: 0.300 0.313 0.446
Sb: 0.700 0.687 0.554
Sb: 0.700 0.813 0.054
Sb: 0.735 0.169 0.749
Sb: 0.735 0.331 0.249
O: 0.413 0.067 0.699
O: 0.413 0.433 0.199
O: 0.587 0.567 0.801
O: 0.587 0.933 0.301
F: 0.000 0.000 0.000
F: 0.000 0.500 0.500
F: 0.018 0.536 0.187
F: 0.018 0.964 0.687
F: 0.022 0.167 0.544
F: 0.022 0.333 0.044
F: 0.119 0.736 0.781
F: 0.119 0.764 0.281
F: 0.153 0.240 0.320
F: 0.153 0.260 0.820
F: 0.172 0.515 0.039
F: 0.172 0.985 0.539
F: 0.180 0.674 0.557
F: 0.180 0.826 0.057
F: 0.199 0.514 0.754
F: 0.199 0.986 0.254
F: 0.210 0.174 0.072
F: 0.210 0.326 0.572
F: 0.245 0.037 0.868
F: 0.245 0.463 0.368
F: 0.328 0.678 0.237
F: 0.328 0.822 0.737
F: 0.354 0.153 0.506
F: 0.354 0.347 0.006
F: 0.354 0.659 0.938
F: 0.354 0.841 0.438
F: 0.381 0.213 0.808
F: 0.381 0.287 0.308
F: 0.402 0.592 0.705
F: 0.402 0.908 0.205
F: 0.445 0.124 0.069
F: 0.445 0.376 0.569
F: 0.555 0.624 0.431
F: 0.555 0.876 0.931
F: 0.598 0.092 0.795
F: 0.598 0.408 0.295
F: 0.619 0.713 0.692
F: 0.619 0.787 0.192
F: 0.646 0.159 0.562
F: 0.646 0.341 0.062
F: 0.646 0.653 0.994
F: 0.646 0.847 0.494
F: 0.672 0.178 0.263
F: 0.672 0.322 0.763
F: 0.755 0.537 0.632
F: 0.755 0.963 0.132
F: 0.790 0.674 0.428
F: 0.790 0.826 0.928
F: 0.801 0.014 0.746
F: 0.801 0.486 0.246
F: 0.820 0.174 0.943
F: 0.820 0.326 0.443
F: 0.828 0.015 0.461
F: 0.828 0.485 0.961
F: 0.847 0.740 0.180
F: 0.847 0.760 0.680
F: 0.881 0.236 0.719
F: 0.881 0.264 0.219
F: 0.978 0.667 0.956
F: 0.978 0.833 0.456
F: 0.982 0.036 0.313
F: 0.982 0.464 0.813

2.
The following is a DFT calculation (PBE-GGA) of a geometry-optimized LuSb3 structure.

Results
ΔE_f (raw) in eV per atom: -0.300
Symmetry: P6_3/mmc
Total energy in eV/cell: -36.18

a = 6.574 Å, b = 6.574 Å, c = 5.685 Å
α = 90.00°, β = 90.00°, γ = 120.00°
Sites, in units of the cell vectors:
Lu: 0.333 0.667 0.250
Lu: 0.667 0.333 0.750
Sb: 0.175 0.351 0.750
Sb: 0.175 0.825 0.750
Sb: 0.351 0.175 0.250
Sb: 0.649 0.825 0.750
Sb: 0.825 0.175 0.250
Sb: 0.825 0.649 0.250

3.
The following is a DFT calculation (PBE-GGA) of a geometry-optimized FeNi3Pd12 structure.

Results
Symmetry: P4/mmm
Total energy in eV/cell: -88.15
Energy of formation from the pure elements in eV/atom: 0.00

a = 3.876 Å, b = 3.876 Å, c = 15.473 Å
α = 90.00°, β = 90.00°, γ = 90.00°
Sites, in units of the cell vectors:
Fe: 0.000 0.000 0.000
Ni: 0.000 0.000 0.252
Ni: 0.000 0.000 0.500
Ni: 0.000 0.000 0.748
Pd: 0.000 0.500 0.125
Pd: 0.000 0.500 0.376
Pd: 0.000 0.500 0.624
Pd: 0.000 0.500 0.875
Pd: 0.500 0.000 0.125
Pd: 0.500 0.000 0.376
Pd: 0.500 0.000 0.624
Pd: 0.500 0.000 0.875
Pd: 0.500 0.500 0.000
Pd: 0.500 0.500 0.250
Pd: 0.500 0.500 0.500
Pd: 0.500 0.500 0.750

4.
The following is a DFT calculation (PBE-GGA) of a geometry-optimized Rb2AlSnAu6 structure.

Results
Symmetry: P-1
Total energy in eV/cell: -31.76
Energy of formation from the pure elements in eV/atom: -0.24

a = 7.154 Å, b = 7.380 Å, c = 7.397 Å
α = 60.44°, β = 61.11°, γ = 61.19°
Sites, in units of the cell vectors:
Rb: 0.205 0.295 0.295
Rb: 0.795 0.705 0.705
Al: 0.000 0.000 0.000
Sn: 0.500 0.500 0.500
Au: 0.239 0.761 0.762
Au: 0.298 0.187 0.813
Au: 0.299 0.813 0.186
Au: 0.701 0.187 0.814
Au: 0.702 0.813 0.187
Au: 0.761 0.239 0.238